Entry 1:
5
Lattice="-2.1784 2.1784 6.4855 2.1784 -2.1784 6.4855 2.1784 2.1784 -6.4855" Properties=species:S:1:pos:R:3 comment="CsPd2S2 GGA-PBE relaxed" magmom_total_mub_per_fu=0.00 e_form_raw_ev_per_atom=-0.456 dos_ef_per_ev_cell=4.94 pbc="T T T"
Cs 0.0000 0.0000 0.0000
Pd 2.1784 0.0000 3.2427
Pd 0.0000 2.1784 3.2427
S 0.0000 0.0000 4.3460
S 0.0000 0.0000 8.6250

Entry 2:
4
Lattice="-1.4842 1.5974 8.9618 1.4842 -1.5974 8.9618 1.4842 1.5974 -8.9618" Properties=species:S:1:pos:R:3 comment="Re2SeCl GGA-PBE relaxed" magmom_total_mub_per_fu=0.00 e_form_raw_ev_per_atom=0.438 dos_ef_per_ev_cell=2.51 pbc="T T T"
Re 0.0000 0.0000 0.0000
Re 0.0000 1.5974 1.7719
Se 1.4842 0.0000 3.4295
Cl 0.0000 0.0000 7.1778

Entry 3:
16
Lattice="5.2323 0.0000 0.0000 0.0000 5.2428 0.0000 0.0000 0.0000 7.3890" Properties=species:S:1:pos:R:3 comment="ZrH GGA-PBE relaxed" total_energy_ev_per_cell=-101.21 magmom_total_mub_per_fu=0.00 dos_ef_per_ev_cell=10.15 pbc="T T T"
Zr 1.2847 0.0096 1.8546
Zr 1.3034 2.6476 3.7089
Zr 1.3128 2.5952 0.0144
Zr 1.3314 5.2332 5.5491
Zr 3.9009 2.6118 5.5345
Zr 3.9195 5.2167 3.6801
Zr 3.9289 0.0262 7.3746
Zr 3.9476 2.6310 1.8399
H 0.6470 1.9730 5.5532
H 0.6728 4.5716 0.0154
H 1.9434 0.6712 3.7100
H 1.9692 3.2698 1.8586
H 3.2631 0.6484 1.8359
H 3.2889 3.2926 7.3736
H 4.5595 1.9502 3.6791
H 4.5853 4.5944 5.5304

Entry 4:
16
Lattice="0.0000 7.7621 13.5106 3.3304 0.0000 13.5106 3.3304 7.7621 0.0000" Properties=species:S:1:pos:R:3 comment="Cs2AlSiTe4 GGA-PBE relaxed" magmom_total_mub_per_fu=0.00 e_form_raw_ev_per_atom=-0.613 dos_ef_per_ev_cell=9.22 pbc="T T T"
Cs 2.4978 5.8215 1.5302
Cs 4.1631 9.7026 8.2855
Cs 2.4978 5.8215 18.7357
Cs 4.1631 9.7026 25.4910
Al 0.8326 1.9405 3.3777
Al 5.8283 13.5836 23.6436
Si 2.4978 5.8215 10.1330
Si 4.1631 9.7026 16.8883
Te 2.4832 3.3935 4.8480
Te 4.1776 7.2745 11.6033
Te 2.5124 8.2496 4.8480
Te 2.5124 3.3935 15.4179
Te 4.1485 12.1307 11.6033
Te 4.1485 7.2745 22.1732
Te 2.4832 8.2496 15.4179
Te 4.1776 12.1307 22.1732

Entry 5:
4
Lattice="0.0000 3.5849 3.5849 3.5849 0.0000 3.5849 3.5849 3.5849 0.0000" Properties=species:S:1:pos:R:3 comment="NaAgGeBi GGA-PBE relaxed" magmom_total_mub_per_fu=0.00 formation_energy_kj_per_mol_atoms=6.0 dos_ef_per_ev_cell=2.14 pbc="T T T"
Na 0.0000 0.0000 0.0000
Ag 3.5849 3.5849 3.5849
Ge 5.3773 5.3773 5.3773
Bi 1.7924 1.7924 1.7924

Entry 6:
4
Lattice="1.5042 0.8684 10.2401 -1.5042 0.8684 10.2401 0.0000 -1.7369 10.2401" Properties=species:S:1:pos:R:3 comment="LiReSn2 GGA-PBE relaxed" magmom_total_mub_per_fu=0.00 formation_energy_kj_per_mol_atoms=56.3 dos_ef_per_ev_cell=2.70 pbc="T T T"
Li 0.0000 0.0000 0.0000
Re 0.0000 0.0000 15.3602
Sn 0.0000 0.0000 12.5968
Sn 0.0000 0.0000 18.1236

Entry 7:
5
Lattice="4.1245 0.0000 0.0000 0.0000 4.1245 0.0000 0.0000 0.0000 8.7406" Properties=species:S:1:pos:R:3 comment="GaCoP2Cl GGA-PBE relaxed" magmom_total_mub_per_fu=0.00 e_form_raw_ev_per_atom=0.140 dos_ef_per_ev_cell=2.74 pbc="T T T"
Ga 0.0000 0.0000 0.0000
Co 2.0622 2.0622 4.3703
P 0.0000 2.0622 4.3703
P 2.0622 0.0000 4.3703
Cl 2.0622 2.0622 0.0000

Entry 8:
4
Lattice="3.4200 0.0000 0.0000 0.0000 3.4200 0.0000 0.0000 0.0000 8.7103" Properties=species:S:1:pos:R:3 comment="PmTm2Be GGA-PBE relaxed" magmom_total_mub_per_fu=0.00 formation_energy_kj_per_mol_atoms=5.2 dos_ef_per_ev_cell=4.05 pbc="T T T"
Pm 0.0000 0.0000 0.0000
Tm 1.7100 1.7100 2.7143
Tm 1.7100 1.7100 5.9960
Be 0.0000 0.0000 4.3551

Entry 9:
4
Lattice="1.4285 0.8248 8.5926 -1.4285 0.8248 8.5926 0.0000 -1.6495 8.5926" Properties=species:S:1:pos:R:3 comment="CoCuAu2 GGA-PBE relaxed" magmom_total_mub_per_fu=1.74 formation_energy_kj_per_mol_atoms=19.8 dos_ef_per_ev_cell=3.12 pbc="T T T"
Co 0.0000 0.0000 0.0000
Cu 0.0000 0.0000 12.8889
Au 0.0000 0.0000 6.4512
Au 0.0000 0.0000 19.3267

Entry 10:
5
Lattice="6.1998 0.0000 0.0000 0.0000 6.1998 0.0000 0.0000 0.0000 6.1998" Properties=species:S:1:pos:R:3 comment="Ba4Ru GGA-PBE relaxed" magmom_total_mub_per_fu=0.31 formation_energy_kj_per_mol_atoms=22.8 dos_ef_per_ev_cell=8.69 pbc="T T T"
Ba 0.0000 0.0000 0.0000
Ba 0.0000 3.0999 3.0999
Ba 3.0999 0.0000 3.0999
Ba 3.0999 3.0999 0.0000
Ru 3.0999 3.0999 3.0999

Entry 11:
18
Lattice="7.6032 -5.0505 0.0000 7.6032 5.0505 0.0000 -0.3225 0.0000 6.9011" Properties=species:S:1:pos:R:3 comment="Nd4I3N2 GGA-PBE relaxed" magmom_total_mub_per_fu=0.00 e_form_raw_ev_per_atom=-1.215 dos_ef_per_ev_cell=10.73 pbc="T T T"
Nd 5.1982 2.9720 3.8589
Nd 4.7054 0.7967 0.4901
Nd 9.5245 2.9720 6.4928
Nd 4.5441 -0.7967 3.9407
Nd 10.3398 0.7967 2.9605
Nd 5.3594 -2.9720 0.4083
Nd 10.1786 -0.7967 6.4110
Nd 9.6858 -2.9720 3.0422
I 6.1514 3.7677 0.2259
I 8.8938 3.7677 3.2247
I 7.3613 0.6661 5.1758
I 7.5226 -0.6661 1.7253
I 5.9901 -3.7677 3.6765
I 8.7325 -3.7677 6.6752
N 4.1548 1.2316 2.7568
N 3.9936 -1.2316 6.2073
N 10.8904 1.2316 0.6938
N 10.7291 -1.2316 4.1443

Entry 12:
3
Lattice="3.5723 -2.0556 0.0000 3.5723 2.0556 0.0000 -0.0642 0.0000 7.9229" Properties=species:S:1:pos:R:3 comment="RbLaNi GGA-PBE relaxed" magmom_total_mub_per_fu=0.00 formation_energy_kj_per_mol_atoms=20.9 dos_ef_per_ev_cell=2.09 pbc="T T T"
Rb 0.0000 0.0000 0.0000
La 2.3268 0.0000 4.1055
Ni 4.7044 0.0000 5.4330

Entry 13:
12
Lattice="3.6015 0.0000 0.0000 0.0000 3.6015 0.0000 0.0000 0.0000 10.7526" Properties=species:S:1:pos:R:3 comment="Zn2Ni9W GGA-PBE relaxed" magmom_total_mub_per_fu=1.40 formation_energy_kj_per_mol_atoms=-13.7 dos_ef_per_ev_cell=9.48 pbc="T T T"
Zn 0.0000 0.0000 1.7560
Zn 0.0000 0.0000 8.9965
Ni 0.0000 1.8007 0.0000
Ni 0.0000 1.8007 3.5960
Ni 0.0000 1.8007 7.1566
Ni 1.8007 0.0000 0.0000
Ni 1.8007 0.0000 3.5960
Ni 1.8007 0.0000 7.1566
Ni 1.8007 1.8007 1.7846
Ni 1.8007 1.8007 5.3763
Ni 1.8007 1.8007 8.9680
W 0.0000 0.0000 5.3763

Entry 14:
8
Lattice="-2.4817 2.4817 4.6004 2.4817 -2.4817 4.6004 2.4817 2.4817 -4.6004" Properties=species:S:1:pos:R:3 comment="BOsS2 GGA-PBE relaxed" magmom_total_mub_per_fu=0.00 e_form_raw_ev_per_atom=0.229 dos_ef_per_ev_cell=2.95 pbc="T T T"
B 0.0000 0.0000 0.0000
B 0.0000 2.4817 2.3002
Os 2.4817 0.0000 2.3002
Os 0.0000 0.0000 4.6004
S 3.7226 0.9706 -1.1501
S 0.9706 1.2409 1.1501
S -1.2409 1.5111 3.4503
S 1.5111 1.2409 5.7505

Entry 15:
4
Lattice="2.8538 0.0000 0.0000 0.0000 4.2763 0.0000 0.0000 0.0000 4.6713" Properties=species:S:1:pos:R:3 comment="CuAsRu2 GGA-PBE relaxed" magmom_total_mub_per_fu=0.01 formation_energy_kj_per_mol_atoms=33.3 dos_ef_per_ev_cell=4.93 pbc="T T T"
Cu 0.0000 0.0000 0.0000
As 1.4269 0.0000 2.3357
Ru 0.0000 2.1382 2.3357
Ru 1.4269 2.1382 0.0000

Entry 16:
12
Lattice="-3.6565 3.6565 3.4474 3.6565 -3.6565 3.4474 3.6565 3.6565 -3.4474" Properties=species:S:1:pos:R:3 comment="DyPaAg2O8 GGA-PBE relaxed" magmom_total_mub_per_fu=0.00 e_form_raw_ev_per_atom=-1.474 dos_ef_per_ev_cell=5.66 pbc="T T T"
Dy 0.0000 0.0000 0.0000
Pa 0.0000 3.6565 1.7237
Ag 3.6565 0.0000 1.7237
Ag 0.0000 0.0000 3.4474
O 2.3456 0.0000 0.1115
O 4.9674 0.0000 0.1115
O 3.6565 2.2867 -1.5796
O 3.6565 -1.3109 3.3359
O 0.0000 1.3698 1.8679
O 3.6565 1.3109 3.3359
O 2.2867 3.6565 1.5796
O 1.3698 0.0000 5.0270

Entry 17:
14
Lattice="2.0527 -5.1282 0.0000 2.0527 5.1282 0.0000 0.0000 0.0000 13.7432" Properties=species:S:1:pos:R:3 comment="Tb3ZnRh3 GGA-PBE relaxed" magmom_total_mub_per_fu=0.00 formation_energy_kj_per_mol_atoms=-75.8 dos_ef_per_ev_cell=9.21 pbc="T T T"
Tb 2.0527 4.8627 10.3074
Tb 2.0527 2.0161 8.2959
Tb 2.0527 2.0161 12.3189
Tb 2.0527 -2.0161 1.4243
Tb 2.0527 -2.0161 5.4473
Tb 2.0527 -4.8627 3.4358
Zn 0.0000 0.0000 0.0000
Zn 0.0000 0.0000 6.8716
Rh 2.0527 2.5766 3.4358
Rh 2.0527 0.9356 1.2408
Rh 2.0527 0.9356 5.6308
Rh 2.0527 -0.9356 8.1124
Rh 2.0527 -0.9356 12.5023
Rh 2.0527 -2.5766 10.3074

Entry 18:
4
Lattice="1.9626 1.1331 8.5964 -1.9626 1.1331 8.5964 0.0000 -2.2662 8.5964" Properties=species:S:1:pos:R:3 comment="LiHoBi2 GGA-PBE relaxed" magmom_total_mub_per_fu=0.00 formation_energy_kj_per_mol_atoms=-37.0 dos_ef_per_ev_cell=2.34 pbc="T T T"
Li 0.0000 0.0000 0.0000
Ho 0.0000 0.0000 12.8946
Bi 0.0000 0.0000 6.5670
Bi 0.0000 0.0000 19.2223

Entry 19:
5
Lattice="3.4844 0.0000 0.0000 0.0000 3.4844 0.0000 0.0000 0.0000 6.8745" Properties=species:S:1:pos:R:3 comment="TcSeSN2 GGA-PBE relaxed" magmom_total_mub_per_fu=2.32 e_form_raw_ev_per_atom=1.679 dos_ef_per_ev_cell=4.70 pbc="T T T"
Tc 0.0000 0.0000 0.0000
Se 1.7422 1.7422 0.0000
S 1.7422 1.7422 3.4373
N 0.0000 1.7422 3.4373
N 1.7422 0.0000 3.4373

Entry 20:
12
Lattice="4.4016 -6.9935 0.0000 4.4016 6.9935 0.0000 -2.0901 0.0000 6.0351" Properties=species:S:1:pos:R:3 comment="Tb4PmHg GGA-PBE relaxed" magmom_total_mub_per_fu=0.00 formation_energy_kj_per_mol_atoms=-5.0 dos_ef_per_ev_cell=16.84 pbc="T T T"
Tb 1.5362 4.3694 5.7529
Tb 1.1656 1.6400 3.7815
Tb 4.1319 4.3694 3.2998
Tb 2.2107 -1.6400 0.7640
Tb 4.5025 1.6400 5.2711
Tb 2.5812 -4.3694 2.7353
Tb 5.5475 -1.6400 2.2536
Tb 5.1770 -4.3694 0.2822
Pm 3.8791 1.3244 1.5088
Pm 2.8340 -1.3244 4.5263
Hg 3.8791 6.9823 1.5088
Hg 2.8340 -6.9823 4.5263